An optimized crystal structure of KSmInSe3, computed with PBE-GGA.

Summary:
For the size of the total moment, the calculation gives 0.000 μB/atom. For the total DFT energy (no corrections), the calculation gives -51.88 eV/cell. Its space group is Cmcm.

Cell lengths 7.7194, 7.7194, 11.2636 Å; angles 90.00, 90.00, 144.30 degrees
Sites, in units of the cell vectors:
Se1 0.6243 0.3757 0.0584
Se2 0.3757 0.6243 0.5584
Se3 0.6243 0.3757 0.4416
Se4 0.3757 0.6243 0.9416
Se5 0.0743 0.9257 0.7500
Se6 0.9257 0.0743 0.2500
In1 0.4867 0.5133 0.7500
In2 0.5133 0.4867 0.2500
K1 0.2494 0.7506 0.2500
K2 0.7506 0.2494 0.7500
Sm1 0.0000 0.0000 0.5000
Sm2 0.0000 0.0000 0.0000